# 1
Ac2Dy5Y2, relaxed, DFT PBE-GGA; V = 327.6 Å³/cell; density = 7.3 g cm⁻³; ΔE_f = 0.21 eV/atom
1.0
-2.570 -1.399 2.117
10.011 -6.632 4.693
4.129 2.623 6.747
Dy Y Ac
5 2 2
direct
0.310 0.619 0.849
0.092 0.184 0.537
0.000 0.000 0.000
0.908 0.816 0.463
0.690 0.381 0.151
0.453 0.905 0.741
0.547 0.095 0.259
0.180 0.361 0.776
0.820 0.639 0.224

# 2
AcDy4Y10, relaxed, DFT PBE-GGA; V = 548.0 Å³/cell; density = 5.4 g cm⁻³; ΔE_f = 0.54 eV/atom
1.0
-4.277 -2.311 4.515
-5.252 -7.191 -3.781
4.072 -7.167 5.064
Y Ac Dy
10 1 4
direct
0.621 0.421 0.837
0.379 0.579 0.163
0.458 0.163 0.421
0.958 0.163 0.421
0.879 0.579 0.163
0.750 0.500 0.500
0.121 0.421 0.837
0.042 0.837 0.579
0.250 0.500 0.500
0.542 0.837 0.579
0.000 0.000 0.000
0.675 0.758 0.892
0.433 0.892 0.242
0.567 0.108 0.758
0.325 0.242 0.108

> Which of these has the lowest density?

AcDy4Y10

> Look up the density of the second one.

5.4 g cm⁻³

Repeat the first record exactly.
Ac2Dy5Y2, relaxed, DFT PBE-GGA; V = 327.6 Å³/cell; density = 7.3 g cm⁻³; ΔE_f = 0.21 eV/atom
1.0
-2.570 -1.399 2.117
10.011 -6.632 4.693
4.129 2.623 6.747
Dy Y Ac
5 2 2
direct
0.310 0.619 0.849
0.092 0.184 0.537
0.000 0.000 0.000
0.908 0.816 0.463
0.690 0.381 0.151
0.453 0.905 0.741
0.547 0.095 0.259
0.180 0.361 0.776
0.820 0.639 0.224